Record 1
# PBE Rb2NiSnCl6, optimized geometry
data_Rb2NiSnCl6
_cell_length_a 7.278
_cell_length_b 7.278
_cell_length_c 7.278
_cell_angle_alpha 60.00
_cell_angle_beta 60.00
_cell_angle_gamma 60.00
_symmetry_space_group_name_H-M 'P 1'
_symmetry_Int_Tables_number 1
_symmetry_space_group_name_Hall 'P 1'
loop_
_atom_site_label
_atom_site_fract_x
_atom_site_fract_y
_atom_site_fract_z
_atom_site_occupancy
Sn1 0.000 0.000 0.000 1
Cl1 0.265 0.735 0.265 1
Cl2 0.735 0.265 0.735 1
Cl3 0.735 0.265 0.265 1
Cl4 0.265 0.265 0.735 1
Cl5 0.265 0.735 0.735 1
Cl6 0.735 0.735 0.265 1
Rb1 0.750 0.750 0.750 1
Rb2 0.250 0.250 0.250 1
Ni1 0.500 0.500 0.500 1
# Energy = -35.17 eV/f.u.
# SG = No. 225

=====

Record 2
# PBE K3HoCl6, optimized geometry
data_K3HoCl6
_cell_length_a 7.450
_cell_length_b 7.890
_cell_length_c 12.896
_cell_angle_alpha 90.00
_cell_angle_beta 124.25
_cell_angle_gamma 90.00
_symmetry_space_group_name_H-M 'P 1'
_symmetry_Int_Tables_number 1
_symmetry_space_group_name_Hall 'P 1'
loop_
_atom_site_label
_atom_site_fract_x
_atom_site_fract_y
_atom_site_fract_z
_atom_site_occupancy
Cl1 0.754 0.225 0.923 1
Cl2 0.902 0.944 0.272 1
Cl3 0.660 0.681 0.943 1
Cl4 0.340 0.181 0.557 1
Cl5 0.902 0.556 0.772 1
Cl6 0.098 0.056 0.728 1
Cl7 0.246 0.725 0.577 1
Cl8 0.754 0.275 0.423 1
Cl9 0.340 0.319 0.057 1
Cl10 0.246 0.775 0.077 1
Cl11 0.098 0.444 0.228 1
Cl12 0.660 0.819 0.443 1
Ho1 0.000 0.500 0.000 1
Ho2 0.000 0.000 0.500 1
K1 0.715 0.572 0.243 1
K2 0.285 0.428 0.757 1
K3 0.500 0.500 0.500 1
K4 0.500 0.000 0.000 1
K5 0.715 0.928 0.743 1
K6 0.285 0.072 0.257 1
# Energy = -40.31 eV/f.u.
# SG = No. 14

=====

Record 3
# PBE FeCoSiAu, optimized geometry
data_FeCoSiAu
_cell_length_a 4.186
_cell_length_b 4.186
_cell_length_c 4.186
_cell_angle_alpha 60.00
_cell_angle_beta 60.00
_cell_angle_gamma 60.00
_symmetry_space_group_name_H-M 'P 1'
_symmetry_Int_Tables_number 1
_symmetry_space_group_name_Hall 'P 1'
loop_
_atom_site_label
_atom_site_fract_x
_atom_site_fract_y
_atom_site_fract_z
_atom_site_occupancy
Fe1 0.250 0.250 0.250 1
Si1 0.000 0.000 0.000 1
Co1 0.750 0.750 0.750 1
Au1 0.500 0.500 0.500 1
# Excess energy over the best structure of this formula in the dataset = 0 meV per atom
# SG = No. 216

=====

Record 4
# PBE Pr3Mg3ZnIr2, optimized geometry
data_Pr3Mg3ZnIr2
_cell_length_a 7.570
_cell_length_b 7.570
_cell_length_c 4.152
_cell_angle_alpha 90.00
_cell_angle_beta 90.00
_cell_angle_gamma 120.00
_symmetry_space_group_name_H-M 'P 1'
_symmetry_Int_Tables_number 1
_symmetry_space_group_name_Hall 'P 1'
loop_
_atom_site_label
_atom_site_fract_x
_atom_site_fract_y
_atom_site_fract_z
_atom_site_occupancy
Pr1 0.580 0.000 0.500 1
Pr2 0.420 0.420 0.500 1
Pr3 0.000 0.580 0.500 1
Mg1 0.751 0.751 0.000 1
Mg2 0.000 0.249 0.000 1
Mg3 0.249 0.000 0.000 1
Zn1 0.000 0.000 0.500 1
Ir1 0.667 0.333 0.000 1
Ir2 0.333 0.667 0.000 1
# Energy = -42.11 eV/f.u.
# SG = No. 189